An optimized crystal structure of LaAl4Pt4, computed with PBE.

Cell and atoms, written as POSCAR:
```
LaAl4Pt4
1.0
-6.003 0.223 1.935
-1.426 -4.774 -3.873
1.758 -5.463 6.085
Pt Al La
8 8 2
Direct
0.785 0.500 0.193
0.000 0.285 0.693
0.500 0.785 0.807
0.715 0.000 0.307
0.215 0.500 0.193
0.000 0.715 0.693
0.285 0.000 0.307
0.500 0.215 0.807
0.500 0.242 0.110
0.000 0.258 0.390
0.242 0.500 0.890
0.258 0.000 0.610
0.000 0.742 0.390
0.758 0.500 0.890
0.742 0.000 0.610
0.500 0.758 0.110
0.500 0.500 0.500
0.000 0.000 0.000
```

space group = P4_2/nmc, No. 137
calculated density = 10.24 Mg/m³
total moment = 0.00 μB/cell
energy of formation from the pure elements = -991 meV/atom